A plane-wave DFT calculation with PBE-GGA was carried out for NaCa2Se after structural relaxation.

The structure in CIF format:
```
data_NaCa2Se
_chemical_formula_sum 'Na1 Ca2 Se1'
_cell_length_a 4.002
_cell_length_b 4.002
_cell_length_c 10.954
_cell_angle_alpha 79.47
_cell_angle_beta 79.47
_cell_angle_gamma 60.00
_space_group_name_H-M_alt 'P 1'
_space_group_IT_number 1
loop_
_space_group_symop_operation_xyz
'x,y,z'
loop_
_atom_site_label
_atom_site_type_symbol
_atom_site_fract_x
_atom_site_fract_y
_atom_site_fract_z
_atom_site_occupancy
Se1 Se 0.500 0.500 0.500 1
Ca1 Ca 0.111 0.111 0.667 1
Ca2 Ca 0.889 0.889 0.333 1
Na1 Na 0.000 0.000 0.000 1
```

Raw formation energy   -3.195 eV per formula unit
Fermi-level density of states   0.872 states/eV/atom

A plane-wave DFT calculation with PBE-GGA was carried out for SrLiMg6Hg after structural relaxation.

The structure in CIF format:
```
data_SrLiMg6Hg
_chemical_formula_sum 'Sr2 Li2 Mg12 Hg2'
_cell_length_a 9.991
_cell_length_b 7.881
_cell_length_c 8.929
_cell_angle_alpha 116.19
_cell_angle_beta 124.02
_cell_angle_gamma 90.00
_space_group_name_H-M_alt 'P 1'
_space_group_IT_number 1
loop_
_space_group_symop_operation_xyz
'x,y,z'
loop_
_atom_site_label
_atom_site_type_symbol
_atom_site_fract_x
_atom_site_fract_y
_atom_site_fract_z
_atom_site_occupancy
Sr1 Sr 0.948 0.198 0.897 1
Sr2 Sr 0.052 0.802 0.103 1
Mg1 Mg 0.384 0.181 0.250 1
Mg2 Mg 0.865 0.569 0.250 1
Mg3 Mg 0.384 0.569 0.250 1
Mg4 Mg 0.616 0.431 0.750 1
Mg5 Mg 0.865 0.181 0.250 1
Mg6 Mg 0.339 0.089 0.679 1
Mg7 Mg 0.135 0.819 0.750 1
Mg8 Mg 0.616 0.819 0.750 1
Mg9 Mg 0.135 0.431 0.750 1
Mg10 Mg 0.244 0.494 0.489 1
Mg11 Mg 0.661 0.911 0.321 1
Mg12 Mg 0.756 0.506 0.511 1
Hg1 Hg 0.500 0.500 0.000 1
Hg2 Hg 0.500 0.000 0.000 1
Li1 Li 0.000 0.000 0.500 1
Li2 Li 0.500 0.000 0.500 1
```

Fermi-level density of states   0.486 states/eV/atom
Formation enthalpy at 0 K   64 meV/atom

A plane-wave DFT calculation with PBE-GGA was carried out for Ni7Pt4W after structural relaxation.

The structure in CIF format:
```
data_Ni7Pt4W
_chemical_formula_sum 'Ni7 Pt4 W1'
_cell_length_a 4.676
_cell_length_b 8.592
_cell_length_c 5.315
_cell_angle_alpha 78.61
_cell_angle_beta 90.49
_cell_angle_gamma 51.45
_space_group_name_H-M_alt 'P 1'
_space_group_IT_number 1
loop_
_space_group_symop_operation_xyz
'x,y,z'
loop_
_atom_site_label
_atom_site_type_symbol
_atom_site_fract_x
_atom_site_fract_y
_atom_site_fract_z
_atom_site_occupancy
Ni1 Ni 0.825 0.366 0.285 1
Ni2 Ni 0.865 0.338 0.792 1
Ni3 Ni 0.200 0.040 0.570 1
Ni4 Ni 0.175 0.634 0.715 1
Ni5 Ni 0.800 0.960 0.430 1
Ni6 Ni 0.500 0.000 0.000 1
Ni7 Ni 0.135 0.662 0.208 1
W1 W 0.000 0.000 0.000 1
Pt1 Pt 0.627 0.676 0.912 1
Pt2 Pt 0.582 0.713 0.406 1
Pt3 Pt 0.418 0.287 0.594 1
Pt4 Pt 0.373 0.324 0.088 1
```

Fermi-level density of states   1.414 states/eV/atom
Formation enthalpy at 0 K   36 meV/atom

| no. | total DFT energy (no corrections) (eV per atom) |
| --- | --- |
| 1 | -3.001 |
| 2 | -1.432 |
| 3 | -6.429 |